(1)
The following is a DFT calculation (GGA-PBE) of a geometry-optimized Sm2In2O5 structure.

Its total DFT energy (no corrections) is -58.59 eV per cell.

The space group is P4/mmm (No. 123) and the conventional cell measures 4.160, 4.160 and 8.555 Å, with angles of 90.00, 90.00 and 90.00 degrees. Symmetry generates all atoms from Sm at (0.000, 0.000, 0.243), In at (0.500, 0.500, 0.000), In at (0.500, 0.500, 0.500), O at (0.000, 0.000, 0.500) and O at (0.000, 0.500, 0.149).

(2)
The following is a DFT calculation (GGA-PBE) of a geometry-optimized SrCdHg2 structure.

Its total DFT energy (no corrections) is -9.41 eV per cell.

The space group is Immm (No. 71) and the conventional cell measures 5.353, 5.365 and 7.499 Å, with angles of 90.00, 90.00 and 90.00 degrees. Symmetry generates all atoms from Sr at (0.000, 0.000, 0.000), Cd at (0.000, 0.000, 0.500) and Hg at (0.000, 0.500, 0.250).

(3)
The following is a DFT calculation (GGA-PBE) of a geometry-optimized NaZr structure.

Its total DFT energy (no corrections) is -51.52 eV per cell. The energy above the most stable polymorph in this dataset is 0.77 eV/f.u.

The space group is Pmc2_1 (No. 26) and the conventional cell measures 5.290, 10.208 and 5.476 Å, with angles of 90.00, 90.00 and 90.00 degrees. Symmetry generates all atoms from Na at (0.000, 0.107, 0.000), Na at (0.000, 0.232, 0.476), Na at (0.500, 0.261, 0.153), Zr at (0.000, 0.446, 0.941), Zr at (0.500, 0.056, 0.674) and Zr at (0.500, 0.421, 0.648).

(4)
The following is a DFT calculation (GGA-PBE) of a geometry-optimized NaNdCdTe3 structure.

Its total DFT energy (no corrections) is -88.47 eV per cell. The energy above the most stable polymorph in this dataset is 0.16 eV/f.u.

The space group is Pnma (No. 62) and the conventional cell measures 12.898, 4.557 and 13.318 Å, with angles of 90.00, 90.00 and 90.00 degrees. Symmetry generates all atoms from Na at (0.161, 0.250, 0.008), Nd at (0.033, 0.250, 0.318), Cd at (0.248, 0.250, 0.710), Te at (0.045, 0.750, 0.146), Te at (0.091, 0.250, 0.565) and Te at (0.217, 0.750, 0.836).

| no. | theoretical density (Mg/m³) |
| --- | --- |
| 1 | 6.8 |
| 2 | 9.3 |
| 3 | 3.8 |
| 4 | 5.6 |